#one
CaPuPd2 | GGA-PBE | relaxed

Lattice parameters (Å, degrees): 3.4895 3.4895 7.2462 90.00 90.00 90.00
Last column: nearest neighbours and their distance in Å.
Positions (direct):
Pu 0.5000 0.5000 0.0000  8 Pd 3.02
Pd 0.0000 0.0000 0.7597  4 Pu 3.02, 4 Ca 3.10
Ca 0.5000 0.5000 0.5000  8 Pd 3.10
Pd 0.0000 0.0000 0.2403  4 Pu 3.02, 4 Ca 3.10

***

#two
CaPuPd2 | GGA-PBE | relaxed

Lattice parameters (Å, degrees): 4.9984 4.9984 4.9984 60.00 60.00 60.00
Last column: nearest neighbours and their distance in Å.
Positions (direct):
Ca 0.0000 0.0000 0.0000  8 Pd 3.06
Pd 0.2500 0.2500 0.2500  4 Pu 3.06, 4 Ca 3.06
Pu 0.5000 0.5000 0.5000  8 Pd 3.06
Pd 0.7500 0.7500 0.7500  4 Ca 3.06, 4 Pu 3.06

***

Which structure is the least stable? The one labeled #two.

***

#one
RbCa2Pd | GGA-PBE | relaxed

Lattice parameters (Å, degrees): 8.6962 8.6962 8.7548 60.22 60.22 90.00
Last column: nearest neighbours and their distance in Å.
Positions (direct):
Pd 0.7500 0.2500 0.5000  4 Ca 2.67
Rb 0.2500 0.7500 0.5000  12 Ca 5.10-5.15, 4 Pd 5.35, 4 Rb 5.35
Ca 0.8762 0.6250 0.2500  2 Pd 2.67
Pd 0.0000 0.0000 0.0000  4 Ca 2.67
Rb 0.5000 0.5000 0.0000  12 Ca 5.10-5.15, 4 Rb 5.35, 4 Pd 5.35
Ca 0.8750 0.1238 0.7500  2 Pd 2.67
Ca 0.8738 0.1250 0.2500  2 Pd 2.67
Ca 0.3750 0.1262 0.7500  2 Pd 2.67

***

#two
RbCa2Pd | GGA-PBE | relaxed

Lattice parameters (Å, degrees): 4.2844 4.2844 11.6592 79.41 79.41 60.00
Last column: nearest neighbours and their distance in Å.
Positions (direct):
Ca 0.8769 0.8769 0.3694  3 Pd 2.89
Rb 0.0000 0.0000 0.0000  2 Ca 4.21, 6 Rb 4.28
Pd 0.5000 0.5000 0.5000  6 Ca 2.89
Ca 0.1231 0.1231 0.6306  3 Pd 2.89

***

#three
RbCa2Pd | GGA-PBE | relaxed

Lattice parameters (Å, degrees): 5.6146 5.6146 5.6146 60.00 60.00 60.00
Last column: nearest neighbours and their distance in Å.
Positions (direct):
Ca 0.7500 0.7500 0.7500  4 Pd 3.44, 4 Rb 3.44
Pd 0.5000 0.5000 0.5000  8 Ca 3.44
Rb 0.0000 0.0000 0.0000  8 Ca 3.44
Ca 0.2500 0.2500 0.2500  4 Rb 3.44, 4 Pd 3.44

***

Which structure is the least stable? The one labeled #three.

***

#one
Rb2CaPd | GGA-PBE | relaxed

Lattice parameters (Å, degrees): 12.9984 12.9984 9.5817 47.29 47.29 90.00
Last column: nearest neighbours and their distance in Å.
Positions (direct):
Ca 0.2500 0.7500 0.5000  2 Pd 2.71
Pd 0.0000 0.0000 0.0000  2 Ca 2.71
Rb 0.7754 0.1250 0.2500  2 Pd 3.56
Rb 0.3750 0.2246 0.7500  2 Pd 3.56
Ca 0.5000 0.5000 0.0000  2 Pd 2.71
Rb 0.9746 0.6250 0.2500  2 Pd 3.56
Rb 0.8750 0.0254 0.7500  2 Pd 3.56
Pd 0.7500 0.2500 0.5000  2 Ca 2.71

***

#two
Rb2CaPd | GGA-PBE | relaxed

Lattice parameters (Å, degrees): 6.1503 6.1503 6.1503 60.00 60.00 60.00
Last column: nearest neighbours and their distance in Å.
Positions (direct):
Pd 0.5000 0.5000 0.5000  8 Rb 3.77
Rb 0.7500 0.7500 0.7500  4 Ca 3.77, 4 Pd 3.77
Ca 0.0000 0.0000 0.0000  8 Rb 3.77
Rb 0.2500 0.2500 0.2500  4 Pd 3.77, 4 Ca 3.77

***

Which structure is the least stable? The one labeled #two.

***

#one
RbSrCa2Pd | GGA-PBE | relaxed

Lattice parameters (Å, degrees): 5.7766 5.7766 6.5409 90.00 90.00 90.00
Last column: nearest neighbours and their distance in Å.
Positions (direct):
Ca 0.5000 0.0000 0.0000  2 Pd 2.89
Ca 0.0000 0.5000 0.0000  2 Pd 2.89
Sr 0.5000 0.5000 0.5000  4 Rb 4.08, 8 Ca 4.36
Rb 0.0000 0.0000 0.5000  2 Pd 3.27
Pd 0.0000 0.0000 0.0000  4 Ca 2.89

***

#two
RbSrCa2Pd | GGA-PBE | relaxed

Lattice parameters (Å, degrees): 5.9022 5.9022 6.1297 90.00 90.00 90.00
Last column: nearest neighbours and their distance in Å.
Positions (direct):
Pd 0.0000 0.0000 0.0000  4 Ca 2.95, 2 Sr 3.06
Sr 0.0000 0.0000 0.5000  2 Pd 3.06
Ca 0.5000 0.0000 0.0000  2 Pd 2.95
Ca 0.0000 0.5000 0.0000  2 Pd 2.95
Rb 0.5000 0.5000 0.5000  4 Sr 4.17, 8 Ca 4.25

***

Which structure is the least stable? The one labeled #one.

***

#one
RbCaTl2Pd | GGA-PBE | relaxed

Lattice parameters (Å, degrees): 6.0449 6.4102 6.0449 90.00 90.00 90.00
Last column: nearest neighbours and their distance in Å.
Positions (direct):
Rb 0.0000 0.0000 0.0000  4 Tl 3.02, 2 Ca 3.21
Tl 0.0000 0.0000 0.5000  2 Rb 3.02
Tl 0.5000 0.0000 0.0000  2 Rb 3.02
Ca 0.0000 0.5000 0.0000  2 Rb 3.21
Pd 0.5000 0.5000 0.5000  4 Ca 4.27, 8 Tl 4.41

***

#two
RbCaTl2Pd | GGA-PBE | relaxed

Lattice parameters (Å, degrees): 5.5382 5.5382 5.4444 90.00 90.00 90.00
Last column: nearest neighbours and their distance in Å.
Positions (direct):
Rb 0.5000 0.5000 0.5000  8 Tl 3.88, 4 Ca 3.92
Tl 0.5000 0.0000 0.0000  2 Pd 2.77
Tl 0.0000 0.5000 0.0000  2 Pd 2.77
Pd 0.0000 0.0000 0.0000  2 Ca 2.72, 4 Tl 2.77
Ca 0.0000 0.0000 0.5000  2 Pd 2.72

***

Which structure is the least stable? The one labeled #one.

***

#one
CaRePd2 | GGA-PBE | relaxed

Lattice parameters (Å, degrees): 4.6506 4.6506 9.0178 75.06 75.06 90.00
Last column: nearest neighbours and their distance in Å.
Positions (direct):
Pd 0.8750 0.9736 0.7500  2 Re 2.50, 2 Pd 2.72
Re 0.0000 0.0000 0.0000  4 Pd 2.50
Re 0.7500 0.2500 0.5000  4 Pd 2.50
Pd 0.7236 0.1250 0.2500  2 Re 2.50, 2 Pd 2.72
Ca 0.2500 0.7500 0.5000  4 Pd 2.90
Ca 0.5000 0.5000 0.0000  4 Pd 2.90
Pd 0.0264 0.6250 0.2500  2 Re 2.50, 2 Pd 2.72
Pd 0.3750 0.2764 0.7500  2 Re 2.50, 2 Pd 2.72

***

#two
CaRePd2 | GGA-PBE | relaxed

Lattice parameters (Å, degrees): 4.6709 4.6709 4.6709 60.00 60.00 60.00
Last column: nearest neighbours and their distance in Å.
Positions (direct):
Ca 0.0000 0.0000 0.0000  8 Pd 2.86
Re 0.5000 0.5000 0.5000  8 Pd 2.86
Pd 0.7500 0.7500 0.7500  4 Ca 2.86, 4 Re 2.86
Pd 0.2500 0.2500 0.2500  4 Re 2.86, 4 Ca 2.86

***

Which structure is the least stable? The one labeled #one.

***

#one
CaPd3Rh | GGA-PBE | relaxed

Lattice parameters (Å, degrees): 4.8746 4.8746 4.8746 90.00 90.00 90.00
Last column: nearest neighbours and their distance in Å.
Positions (direct):
Rh 0.0000 0.0000 0.0000  6 Pd 2.44
Pd 0.0000 0.5000 0.0000  2 Rh 2.44
Pd 0.5000 0.0000 0.0000  2 Rh 2.44
Pd 0.0000 0.0000 0.5000  2 Rh 2.44
Ca 0.5000 0.5000 0.5000  12 Pd 3.45

***

#two
CaPd3Rh | GGA-PBE | relaxed

Lattice parameters (Å, degrees): 4.7942 4.7942 4.7942 90.00 90.00 90.00
Last column: nearest neighbours and their distance in Å.
Positions (direct):
Pd 0.0000 0.0000 0.5000  2 Ca 2.40
Rh 0.5000 0.5000 0.5000  12 Pd 3.39
Pd 0.0000 0.5000 0.0000  2 Ca 2.40
Ca 0.0000 0.0000 0.0000  6 Pd 2.40
Pd 0.5000 0.0000 0.0000  2 Ca 2.40

***

Which structure is the least stable? The one labeled #two.

***

#one
CaPd2Rh2 | GGA-PBE | relaxed

Lattice parameters (Å, degrees): 7.6899 7.6899 2.9116 90.00 90.00 90.00
Last column: nearest neighbours and their distance in Å.
Positions (direct):
Rh 0.3818 0.8818 0.0000  1 Rh 2.57, 6 Pd 2.63-2.76
Rh 0.6182 0.1182 0.0000  1 Rh 2.57, 6 Pd 2.63-2.76
Pd 0.3195 0.1805 0.5000  6 Rh 2.63-2.76, 2 Pd 2.91
Pd 0.6805 0.8195 0.5000  6 Rh 2.63-2.76, 2 Pd 2.91
Rh 0.1182 0.3818 0.0000  1 Rh 2.57, 6 Pd 2.63-2.76
Pd 0.8195 0.3195 0.5000  6 Rh 2.63-2.76, 2 Pd 2.91
Ca 0.5000 0.5000 0.0000  2 Ca 2.91, 4 Rh 3.07, 8 Pd 3.18
Rh 0.8818 0.6182 0.0000  1 Rh 2.57, 6 Pd 2.63-2.76
Ca 0.0000 0.0000 0.0000  2 Ca 2.91, 4 Rh 3.07, 8 Pd 3.18
Pd 0.1805 0.6805 0.5000  6 Rh 2.63-2.76, 2 Pd 2.91

***

#two
CaPd2Rh2 | GGA-PBE | relaxed

Lattice parameters (Å, degrees): 4.1219 4.1219 6.2898 70.87 70.87 90.00
Last column: nearest neighbours and their distance in Å.
Positions (direct):
Ca 0.0000 0.0000 0.0000  8 Rh 3.14, 8 Pd 3.47
Pd 0.7500 0.2500 0.5000  4 Rh 2.63, 4 Pd 2.91
Rh 0.6041 0.6041 0.7919  1 Rh 2.32
Rh 0.3959 0.3959 0.2081  1 Rh 2.32
Pd 0.2500 0.7500 0.5000  4 Rh 2.63, 4 Pd 2.91

***

#three
CaPd2Rh2 | GGA-PBE | relaxed

Lattice parameters (Å, degrees): 7.7290 7.7290 2.8698 90.00 90.00 90.00
Last column: nearest neighbours and their distance in Å.
Positions (direct):
Pd 0.6254 0.1254 0.0000  6 Rh 2.63-2.74, 3 Pd 2.74-2.87
Rh 0.6735 0.8265 0.5000  6 Pd 2.63-2.74, 2 Rh 2.87
Pd 0.3746 0.8746 0.0000  6 Rh 2.63-2.74, 3 Pd 2.74-2.87
Rh 0.8265 0.3265 0.5000  6 Pd 2.63-2.74, 2 Rh 2.87
Pd 0.1254 0.3746 0.0000  6 Rh 2.63-2.74, 3 Pd 2.74-2.87
Rh 0.1735 0.6735 0.5000  6 Pd 2.63-2.74, 2 Rh 2.87
Pd 0.8746 0.6254 0.0000  6 Rh 2.63-2.74, 3 Pd 2.74-2.87
Ca 0.0000 0.0000 0.0000  2 Ca 2.87, 4 Pd 3.05, 8 Rh 3.20
Ca 0.5000 0.5000 0.0000  2 Ca 2.87, 4 Pd 3.05, 8 Rh 3.20
Rh 0.3265 0.1735 0.5000  6 Pd 2.63-2.74, 2 Rh 2.87

***

Which structure is the least stable? The one labeled #two.